1.
A plane-wave DFT calculation with PBE was carried out for an optimized crystal structure of GdCuAgPb.

Results
The calculation puts the calculated formation energy at -20.0 kJ per mole of atoms. The value obtained for the spin magnetization is 27.931 Bohr magnetons per cell.

Structure (CIF):
```
data_GdCuAgPb
_chemical_formula_sum 'Gd4 Cu4 Ag4 Pb4'
_symmetry_space_group_name_H-M 'F -4 3 m'
_symmetry_Int_Tables_number 216
_symmetry_space_group_name_Hall 'F -4 2 3'
_cell_length_a 7.032
_cell_length_b 7.032
_cell_length_c 7.032
_cell_angle_alpha 90.00
_cell_angle_beta 90.00
_cell_angle_gamma 90.00
loop_
_atom_site_label
_atom_site_type_symbol
_atom_site_fract_x
_atom_site_fract_y
_atom_site_fract_z
Gd1 Gd 0.000 0.000 0.000
Cu1 Cu 0.250 0.250 0.750
Ag1 Ag 0.250 0.250 0.250
Pb1 Pb 0.000 0.000 0.500
```



2.
A plane-wave DFT calculation with PBE was carried out for an optimized crystal structure of GdCuAgPd.

Results
The calculation puts the calculated formation energy at -32.8 kJ per mole of atoms. The value obtained for the spin magnetization is 28.485 Bohr magnetons per cell.

Structure (CIF):
```
data_GdCuAgPd
_chemical_formula_sum 'Gd4 Cu4 Ag4 Pd4'
_symmetry_space_group_name_H-M 'F -4 3 m'
_symmetry_Int_Tables_number 216
_symmetry_space_group_name_Hall 'F -4 2 3'
_cell_length_a 6.717
_cell_length_b 6.717
_cell_length_c 6.717
_cell_angle_alpha 90.00
_cell_angle_beta 90.00
_cell_angle_gamma 90.00
loop_
_atom_site_label
_atom_site_type_symbol
_atom_site_fract_x
_atom_site_fract_y
_atom_site_fract_z
Gd1 Gd 0.000 0.000 0.000
Cu1 Cu 0.250 0.250 0.750
Ag1 Ag 0.000 0.000 0.500
Pd1 Pd 0.250 0.250 0.250
```